Record 1
The following is a DFT calculation (PBE-GGA) of crystalline Y4ErSc2 at its relaxed geometry.

The structure in POSCAR format:
```
Y4ErSc2
1.0
5.456 0.000 0.000
0.000 6.822 0.000
-2.730 0.000 11.307
Y Er Sc
8 2 4
Direct
0.072 0.250 0.148
0.216 0.750 0.433
0.355 0.000 0.710
0.355 0.500 0.710
0.645 0.000 0.290
0.645 0.500 0.290
0.784 0.250 0.567
0.928 0.750 0.852
0.076 0.750 0.147
0.924 0.250 0.853
0.214 0.250 0.426
0.497 0.250 0.998
0.503 0.750 0.002
0.786 0.750 0.574
```

Summary:
Its density of states at the Fermi level is 1.947 states/eV per atom. For the offset from the most stable computed form, the calculation gives 0 meV/atom. The calculation puts the formation energy at 146 meV per atom. Its crystal system is monoclinic.

---

Record 2
The following is a DFT calculation (PBE-GGA) of crystalline Y3Er7Sc2 at its relaxed geometry.

The structure in POSCAR format:
```
Y3Er7Sc2
1.0
3.580 0.000 0.000
0.000 5.409 0.000
-1.806 0.000 19.868
Y Er Sc
3 7 2
Direct
0.000 0.000 0.000
0.329 0.500 0.662
0.671 0.500 0.338
0.090 0.500 0.177
0.214 0.000 0.429
0.430 0.000 0.863
0.500 0.500 0.000
0.570 0.000 0.137
0.786 0.000 0.571
0.910 0.500 0.823
0.141 0.000 0.275
0.859 0.000 0.725
```

Summary:
Its density of states at the Fermi level is 1.608 states/eV per atom. The calculation puts the formation energy at 238 meV per atom. Its crystal system is monoclinic.

---

Record 3
The following is a DFT calculation (PBE-GGA) of crystalline Y2ErSc5 at its relaxed geometry.

The structure in POSCAR format:
```
Y2ErSc5
1.0
-3.390 3.390 4.711
3.390 -3.390 4.711
3.390 3.390 -4.711
Y Er Sc
2 1 5
Direct
0.000 0.500 0.500
0.500 0.000 0.500
0.000 0.000 0.000
0.000 0.000 0.500
0.000 0.500 0.000
0.500 0.000 0.000
0.500 0.500 0.000
0.500 0.500 0.500
```

Summary:
Its density of states at the Fermi level is 2.056 states/eV per atom. For the offset from the most stable computed form, the calculation gives 0 meV/atom. The calculation puts the formation energy at 64 meV per atom. Its crystal system is tetragonal.